# 1
5
Lattice="5.6941 0.0000 0.0000 0.0000 5.6941 0.0000 0.0000 0.0000 5.6941" Properties=species:S:1:pos:R:3 comment="PBE-GGA BaLaGa3, optimized geometry" polymorph_energy_mev_per_atom=1173 magnetic_moment_mub_per_fu=0.0 energy_ev_per_cell=-12.852 rho_g_cm3=4.366 vol_a3_per_atom=36.9 delta_e_f_mev_per_atom=616 dos_ef_per_ev_fu=9.4 pbc="T T T"
Ga 0.0000 2.8471 0.0000
La 2.8471 2.8471 2.8471
Ba 0.0000 0.0000 0.0000
Ga 0.0000 0.0000 2.8471
Ga 2.8471 0.0000 0.0000

# 2
12
Lattice="-2.0375 -2.5834 0.5354 4.0247 -3.5854 -1.9834 0.6458 1.2307 8.3957" Properties=species:S:1:pos:R:3 comment="PBE-GGA LiPaNbN3, optimized geometry" formation_energy_uncorrected_ev_per_atom=-1.167 magnetic_moment_mub_per_fu=0.0 energy_ev_per_cell=-106.916 rho_g_cm3=8.210 vol_a3_per_atom=12.6 dos_ef_per_ev_fu=1.9 pbc="T T T"
Pa 0.8135 -1.3228 1.9019
Li 0.2360 -1.8242 7.6611
N 2.7121 -2.6429 2.7568
Nb 0.5779 -0.4711 5.1142
N 2.5270 -5.2267 -0.0374
N 2.1410 -1.5334 5.9369
N 0.1061 0.2887 6.9851
Pa 1.8196 -3.6152 5.0458
Nb 2.0552 -4.4669 1.8336
N 0.4921 -3.4046 1.0109
Li 2.3971 -3.1138 -0.7134
N -0.0790 -2.2951 4.1909

# 3
7
Lattice="4.4807 0.0000 0.0000 0.0000 4.4807 0.0000 0.0000 0.0000 6.0255" Properties=species:S:1:pos:R:3 comment="PBE-GGA ScTiZn5, optimized geometry" magnetic_moment_mub_per_fu=0.0 energy_ev_per_cell=-20.782 rho_g_cm3=5.763 vol_a3_per_atom=17.3 delta_e_f_mev_per_atom=-26 dos_ef_per_ev_fu=3.5 pbc="T T T"
Ti 2.2403 2.2404 0.0000
Zn 0.0000 2.2404 1.3390
Zn 2.2403 0.0000 1.3390
Sc 0.0000 0.0000 3.0128
Zn 2.2403 2.2404 3.0128
Zn 2.2403 0.0000 4.6866
Zn 0.0000 2.2404 4.6865

# 4
4
Lattice="4.0709 0.0000 0.0000 2.0354 3.5255 0.0000 2.0354 1.1752 6.9990" Properties=species:S:1:pos:R:3 comment="PBE-GGA InBiAu2, optimized geometry" magnetic_moment_mub_per_fu=0.0 energy_ev_per_cell=-13.318 rho_g_cm3=11.865 vol_a3_per_atom=25.1 delta_e_f_mev_per_atom=-36 dos_ef_per_ev_fu=1.6 pbc="T T T"
Bi 4.0709 2.3503 3.5352
Au 2.0354 1.1752 1.6241
In 6.1063 3.5255 6.9647
Au 2.0354 1.1752 5.3734

- Number 2 is which compound?
  LiPaNbN3